Material: Li3CeDy2Te6
Method: DFT, PBE
State: optimized geometry

The structure in CIF format:
```
data_Li3CeDy2Te6
_symmetry_space_group_name_H-M 'C 1 2/m 1'
_symmetry_Int_Tables_number 12
_symmetry_space_group_name_Hall '-C 2y'
_cell_length_a 7.602
_cell_length_b 13.170
_cell_length_c 7.503
_cell_angle_alpha 90.00
_cell_angle_beta 109.72
_cell_angle_gamma 90.00
loop_
_atom_site_label
_atom_site_type_symbol
_atom_site_fract_x
_atom_site_fract_y
_atom_site_fract_z
_atom_site_occupancy
Li1 Li 0.000 0.000 0.000 1
Li2 Li 0.000 0.333 0.000 1
Ce1 Ce 0.000 0.500 0.500 1
Dy1 Dy 0.000 0.167 0.500 1
Te1 Te 0.244 0.171 0.243 1
Te2 Te 0.245 0.000 0.758 1
```

Properties
calculated total energy: -4.576 eV per atom
total moment: 0.997 μB per formula unit


Material: Y2BeSbRh
Method: DFT, PBE
State: optimized geometry

The structure in CIF format:
```
data_Y2BeSbRh
_symmetry_space_group_name_H-M 'P 4/m m m'
_symmetry_Int_Tables_number 123
_symmetry_space_group_name_Hall '-P 4 2'
_cell_length_a 5.283
_cell_length_b 5.283
_cell_length_c 4.949
_cell_angle_alpha 90.00
_cell_angle_beta 90.00
_cell_angle_gamma 90.00
loop_
_atom_site_label
_atom_site_type_symbol
_atom_site_fract_x
_atom_site_fract_y
_atom_site_fract_z
_atom_site_occupancy
Y1 Y 0.000 0.500 0.000 1
Be1 Be 0.000 0.000 0.500 1
Sb1 Sb 0.500 0.500 0.500 1
Rh1 Rh 0.500 0.500 0.000 1
```

Properties
calculated total energy: -5.563 eV per atom
total moment: 0.000 μB per formula unit


Material: KNa3Ru
Method: DFT, PBE
State: optimized geometry

The structure in CIF format:
```
data_KNa3Ru
_symmetry_space_group_name_H-M 'P m -3 m'
_symmetry_Int_Tables_number 221
_symmetry_space_group_name_Hall '-P 4 2 3'
_cell_length_a 5.683
_cell_length_b 5.683
_cell_length_c 5.683
_cell_angle_alpha 90.00
_cell_angle_beta 90.00
_cell_angle_gamma 90.00
loop_
_atom_site_label
_atom_site_type_symbol
_atom_site_fract_x
_atom_site_fract_y
_atom_site_fract_z
_atom_site_occupancy
K1 K 0.000 0.000 0.000 1
Na1 Na 0.000 0.000 0.500 1
Ru1 Ru 0.500 0.500 0.500 1
```

Properties
calculated total energy: -1.461 eV per atom
excess energy over the best structure of this formula in the dataset: 622 meV/atom
total moment: 1.978 μB per formula unit


Material: Ce2NdTi
Method: DFT, PBE
State: optimized geometry

The structure in CIF format:
```
data_Ce2NdTi
_symmetry_space_group_name_H-M 'P 4/m m m'
_symmetry_Int_Tables_number 123
_symmetry_space_group_name_Hall '-P 4 2'
_cell_length_a 3.249
_cell_length_b 3.249
_cell_length_c 10.043
_cell_angle_alpha 90.00
_cell_angle_beta 90.00
_cell_angle_gamma 90.00
loop_
_atom_site_label
_atom_site_type_symbol
_atom_site_fract_x
_atom_site_fract_y
_atom_site_fract_z
_atom_site_occupancy
Ce1 Ce 0.000 0.000 0.221 1
Nd1 Nd 0.500 0.500 0.500 1
Ti1 Ti 0.500 0.500 0.000 1
```

Properties
calculated total energy: -5.930 eV per atom
total moment: 0.000 μB per formula unit


Material: HfPb3Se
Method: DFT, PBE
State: optimized geometry

The structure in CIF format:
```
data_HfPb3Se
_symmetry_space_group_name_H-M 'P m -3 m'
_symmetry_Int_Tables_number 221
_symmetry_space_group_name_Hall '-P 4 2 3'
_cell_length_a 5.664
_cell_length_b 5.664
_cell_length_c 5.664
_cell_angle_alpha 90.00
_cell_angle_beta 90.00
_cell_angle_gamma 90.00
loop_
_atom_site_label
_atom_site_type_symbol
_atom_site_fract_x
_atom_site_fract_y
_atom_site_fract_z
_atom_site_occupancy
Hf1 Hf 0.000 0.000 0.000 1
Pb1 Pb 0.000 0.000 0.500 1
Se1 Se 0.500 0.500 0.500 1
```

Properties
calculated total energy: -4.375 eV per atom
excess energy over the best structure of this formula in the dataset: 0 meV/atom
total moment: 0.000 μB per formula unit


Material: Pm5Al2Ag2
Method: DFT, PBE
State: optimized geometry

The structure in CIF format:
```
data_Pm5Al2Ag2
_symmetry_space_group_name_H-M 'C m c e'
_symmetry_Int_Tables_number 64
_symmetry_space_group_name_Hall '-C 2ac 2'
_cell_length_a 16.619
_cell_length_b 7.840
_cell_length_c 7.790
_cell_angle_alpha 90.00
_cell_angle_beta 90.00
_cell_angle_gamma 90.00
loop_
_atom_site_label
_atom_site_type_symbol
_atom_site_fract_x
_atom_site_fract_y
_atom_site_fract_z
_atom_site_occupancy
Pm1 Pm 0.000 0.000 0.000 1
Pm2 Pm 0.138 0.181 0.324 1
Al1 Al 0.000 0.118 0.617 1
Ag1 Ag 0.213 0.000 0.000 1
```

Properties
calculated total energy: -4.335 eV per atom
total moment: 0.000 μB per formula unit


Material: Ac5Te4Pb
Method: DFT, PBE
State: optimized geometry

The structure in CIF format:
```
data_Ac5Te4Pb
_symmetry_space_group_name_H-M 'I 4/m m m'
_symmetry_Int_Tables_number 139
_symmetry_space_group_name_Hall '-I 4 2'
_cell_length_a 4.762
_cell_length_b 4.762
_cell_length_c 33.775
_cell_angle_alpha 90.00
_cell_angle_beta 90.00
_cell_angle_gamma 90.00
loop_
_atom_site_label
_atom_site_type_symbol
_atom_site_fract_x
_atom_site_fract_y
_atom_site_fract_z
_atom_site_occupancy
Ac1 Ac 0.000 0.000 0.000 1
Ac2 Ac 0.000 0.000 0.202 1
Ac3 Ac 0.000 0.000 0.401 1
Te1 Te 0.000 0.000 0.102 1
Te2 Te 0.000 0.000 0.301 1
Pb1 Pb 0.000 0.000 0.500 1
```

Properties
calculated total energy: -5.009 eV per atom
excess energy over the best structure of this formula in the dataset: 17 meV/atom
total moment: 0.000 μB per formula unit


Material: Ho8Zn2Hg
Method: DFT, PBE
State: optimized geometry

The structure in CIF format:
```
data_Ho8Zn2Hg
_symmetry_space_group_name_H-M 'C 1 2/m 1'
_symmetry_Int_Tables_number 12
_symmetry_space_group_name_Hall '-C 2y'
_cell_length_a 17.705
_cell_length_b 5.058
_cell_length_c 7.047
_cell_angle_alpha 90.00
_cell_angle_beta 107.84
_cell_angle_gamma 90.00
loop_
_atom_site_label
_atom_site_type_symbol
_atom_site_fract_x
_atom_site_fract_y
_atom_site_fract_z
_atom_site_occupancy
Ho1 Ho 0.029 0.000 0.266 1
Ho2 Ho 0.093 0.500 0.966 1
Ho3 Ho 0.171 0.500 0.473 1
Ho4 Ho 0.198 0.000 0.815 1
Zn1 Zn 0.185 0.000 0.208 1
Hg1 Hg 0.000 0.500 0.500 1
```

Properties
calculated total energy: -3.758 eV per atom
excess energy over the best structure of this formula in the dataset: 0 meV/atom
total moment: 0.000 μB per formula unit


Material: FeIBr2
Method: DFT, PBE
State: optimized geometry

The structure in CIF format:
```
data_FeIBr2
_symmetry_space_group_name_H-M 'P n n a'
_symmetry_Int_Tables_number 52
_symmetry_space_group_name_Hall '-P 2a 2bc'
_cell_length_a 6.537
_cell_length_b 6.605
_cell_length_c 11.746
_cell_angle_alpha 90.00
_cell_angle_beta 90.00
_cell_angle_gamma 90.00
loop_
_atom_site_label
_atom_site_type_symbol
_atom_site_fract_x
_atom_site_fract_y
_atom_site_fract_z
_atom_site_occupancy
Fe1 Fe 0.250 0.000 0.085 1
I1 I 0.075 0.250 0.250 1
Br1 Br 0.064 0.218 0.928 1
```

Properties
calculated total energy: -3.604 eV per atom
excess energy over the best structure of this formula in the dataset: 0 meV/atom
total moment: 4.929 μB per formula unit


Material: BePSCl2
Method: DFT, PBE
State: optimized geometry

The structure in CIF format:
```
data_BePSCl2
_symmetry_space_group_name_H-M 'P 4/m m m'
_symmetry_Int_Tables_number 123
_symmetry_space_group_name_Hall '-P 4 2'
_cell_length_a 4.630
_cell_length_b 4.630
_cell_length_c 4.895
_cell_angle_alpha 90.00
_cell_angle_beta 90.00
_cell_angle_gamma 90.00
loop_
_atom_site_label
_atom_site_type_symbol
_atom_site_fract_x
_atom_site_fract_y
_atom_site_fract_z
_atom_site_occupancy
Be1 Be 0.000 0.000 0.000 1
P1 P 0.500 0.500 0.000 1
S1 S 0.500 0.500 0.500 1
Cl1 Cl 0.000 0.500 0.500 1
```

Properties
calculated total energy: -2.440 eV per atom
excess energy over the best structure of this formula in the dataset: 789 meV/atom
total moment: 0.000 μB per formula unit


Material: CdInOs2Pb
Method: DFT, PBE
State: optimized geometry

The structure in CIF format:
```
data_CdInOs2Pb
_symmetry_space_group_name_H-M 'P 4/m m m'
_symmetry_Int_Tables_number 123
_symmetry_space_group_name_Hall '-P 4 2'
_cell_length_a 4.992
_cell_length_b 4.992
_cell_length_c 5.489
_cell_angle_alpha 90.00
_cell_angle_beta 90.00
_cell_angle_gamma 90.00
loop_
_atom_site_label
_atom_site_type_symbol
_atom_site_fract_x
_atom_site_fract_y
_atom_site_fract_z
_atom_site_occupancy
Cd1 Cd 0.000 0.000 0.000 1
In1 In 0.500 0.500 0.500 1
Os1 Os 0.000 0.500 0.500 1
Pb1 Pb 0.500 0.500 0.000 1
```

Properties
calculated total energy: -3.914 eV per atom
total moment: 2.012 μB per formula unit


Material: HgBi2Pb4
Method: DFT, PBE
State: optimized geometry

The structure in CIF format:
```
data_HgBi2Pb4
_symmetry_space_group_name_H-M 'P 1 21/m 1'
_symmetry_Int_Tables_number 11
_symmetry_space_group_name_Hall '-P 2yb'
_cell_length_a 8.511
_cell_length_b 6.677
_cell_length_c 8.888
_cell_angle_alpha 90.00
_cell_angle_beta 118.57
_cell_angle_gamma 90.00
loop_
_atom_site_label
_atom_site_type_symbol
_atom_site_fract_x
_atom_site_fract_y
_atom_site_fract_z
_atom_site_occupancy
Hg1 Hg 0.215 0.250 0.152 1
Bi1 Bi 0.219 0.750 0.141 1
Bi2 Bi 0.305 0.750 0.560 1
Pb1 Pb 0.081 0.000 0.745 1
Pb2 Pb 0.360 0.250 0.559 1
Pb3 Pb 0.493 0.250 0.006 1
```

Properties
calculated total energy: -3.223 eV per atom
excess energy over the best structure of this formula in the dataset: 3 meV/atom
total moment: 0.000 μB per formula unit


Material: MgZnPt2
Method: DFT, PBE
State: optimized geometry

The structure in CIF format:
```
data_MgZnPt2
_symmetry_space_group_name_H-M 'C m m m'
_symmetry_Int_Tables_number 65
_symmetry_space_group_name_Hall '-C 2 2'
_cell_length_a 5.817
_cell_length_b 7.124
_cell_length_c 2.925
_cell_angle_alpha 90.00
_cell_angle_beta 90.00
_cell_angle_gamma 90.00
loop_
_atom_site_label
_atom_site_type_symbol
_atom_site_fract_x
_atom_site_fract_y
_atom_site_fract_z
_atom_site_occupancy
Mg1 Mg 0.000 0.000 0.000 1
Zn1 Zn 0.000 0.500 0.000 1
Pt1 Pt 0.250 0.250 0.500 1
```

Properties
calculated total energy: -4.471 eV per atom
total moment: 0.000 μB per formula unit


Material: Sm4ZnRu
Method: DFT, PBE
State: optimized geometry

The structure in CIF format:
```
data_Sm4ZnRu
_symmetry_space_group_name_H-M 'C 1 2/c 1'
_symmetry_Int_Tables_number 15
_symmetry_space_group_name_Hall '-C 2yc'
_cell_length_a 8.901
_cell_length_b 13.430
_cell_length_c 6.245
_cell_angle_alpha 90.00
_cell_angle_beta 117.34
_cell_angle_gamma 90.00
loop_
_atom_site_label
_atom_site_type_symbol
_atom_site_fract_x
_atom_site_fract_y
_atom_site_fract_z
_atom_site_occupancy
Sm1 Sm 0.117 0.179 0.080 1
Sm2 Sm 0.215 0.431 0.322 1
Zn1 Zn 0.000 0.374 0.750 1
Ru1 Ru 0.000 0.001 0.250 1
```

Properties
calculated total energy: -5.116 eV per atom
excess energy over the best structure of this formula in the dataset: 38 meV/atom
total moment: 0.000 μB per formula unit


Material: PaAl
Method: DFT, PBE
State: optimized geometry

The structure in CIF format:
```
data_PaAl
_symmetry_space_group_name_H-M 'P m -3 m'
_symmetry_Int_Tables_number 221
_symmetry_space_group_name_Hall '-P 4 2 3'
_cell_length_a 3.557
_cell_length_b 3.557
_cell_length_c 3.557
_cell_angle_alpha 90.00
_cell_angle_beta 90.00
_cell_angle_gamma 90.00
loop_
_atom_site_label
_atom_site_type_symbol
_atom_site_fract_x
_atom_site_fract_y
_atom_site_fract_z
_atom_site_occupancy
Pa1 Pa 0.000 0.000 0.000 1
Al1 Al 0.500 0.500 0.500 1
```

Properties
calculated total energy: -6.558 eV per atom
total moment: 0.001 μB per formula unit


Material: Sr2AlCu2
Method: DFT, PBE
State: optimized geometry

The structure in CIF format:
```
data_Sr2AlCu2
_symmetry_space_group_name_H-M 'R -3 m'
_symmetry_Int_Tables_number 166
_symmetry_space_group_name_Hall '-R 3 2"'
_cell_length_a 4.2963
_cell_length_b 4.2963
_cell_length_c 27.8985
_cell_angle_alpha 90.00
_cell_angle_beta 90.00
_cell_angle_gamma 120.00
loop_
_atom_site_label
_atom_site_type_symbol
_atom_site_fract_x
_atom_site_fract_y
_atom_site_fract_z
_atom_site_occupancy
Sr1 Sr 0.0000 0.0000 0.0743 1
Al1 Al 0.0000 0.0000 0.5000 1
Cu1 Cu 0.0000 0.0000 0.1818 1
```

Properties
calculated total energy: -3.238 eV per atom
total moment: 0.000 μB per formula unit